First-principles (GGA-PBE) data for a geometry-optimized TaTiPt3 structure, as listed in Alexandria.

Unit cell a=7.0923 b=6.9085 c=6.9010 alpha=90.00 beta=90.00 gamma=90.00
Sites, in units of the cell vectors:
Ta: 0.0000 0.0000 0.0000
Ta: 0.0000 0.5000 0.0000
Ta: 0.5000 0.0000 0.5000
Ta: 0.5000 0.5000 0.5000
Ti: 0.1685 0.2500 0.4091
Ti: 0.3315 0.7500 0.9091
Ti: 0.6685 0.2500 0.0909
Ti: 0.8315 0.7500 0.5909
Pt: 0.1271 0.7500 0.2758
Pt: 0.1428 0.5519 0.6456
Pt: 0.1428 0.9481 0.6456
Pt: 0.3572 0.0519 0.1456
Pt: 0.3572 0.4481 0.1456
Pt: 0.3729 0.2500 0.7758
Pt: 0.6271 0.7500 0.2242
Pt: 0.6428 0.5519 0.8544
Pt: 0.6428 0.9481 0.8544
Pt: 0.8572 0.0519 0.3544
Pt: 0.8572 0.4481 0.3544
Pt: 0.8729 0.2500 0.7242

Calculated values
Distance to the lowest polymorph of the same formula ... 0.000 eV/atom
M_tot ... 0.0 Bohr magnetons per cell
E ... -8.1394 eV/atom
SG ... Pnma, No. 62
Energy relative to the elements ... -0.57 eV per atom
DOS at the Fermi energy ... 13.06 states/eV per cell

First-principles (GGA-PBE) data for a geometry-optimized TaTiPt structure, as listed in Alexandria.

Unit cell a=4.5435 b=4.5435 c=2.7797 alpha=90.00 beta=90.00 gamma=120.00
Sites, in units of the cell vectors:
Ta: 0.0000 0.0000 0.0000
Ti: 0.3333 0.6667 0.3362
Pt: 0.6667 0.3333 0.6722

Calculated values
Distance to the lowest polymorph of the same formula ... 0.216 eV/atom
M_tot ... 0.7 Bohr magnetons per cell
E ... -8.8781 eV/atom
SG ... P3m1, No. 156
Energy relative to the elements ... -0.28 eV per atom
DOS at the Fermi energy ... 4.87 states/eV per cell

First-principles (GGA-PBE) data for a geometry-optimized TaTiPt structure, as listed in Alexandria.

Unit cell a=3.9191 b=3.9191 c=6.9270 alpha=90.00 beta=90.00 gamma=90.00
Sites, in units of the cell vectors:
Ta: 0.2500 0.7500 0.0000
Ta: 0.7500 0.2500 0.0000
Ti: 0.2500 0.2500 0.3589
Ti: 0.7500 0.7500 0.6411
Pt: 0.2500 0.2500 0.7127
Pt: 0.7500 0.7500 0.2873

Calculated values
Distance to the lowest polymorph of the same formula ... 0.072 eV/atom
M_tot ... 0.0 Bohr magnetons per cell
E ... -9.0219 eV/atom
SG ... P4/nmm, No. 129
Energy relative to the elements ... -0.43 eV per atom
DOS at the Fermi energy ... 5.30 states/eV per cell

First-principles (GGA-PBE) data for a geometry-optimized Ta2Ti4Pt structure, as listed in Alexandria.

Unit cell a=7.2869 b=7.2869 c=7.2869 alpha=141.32 beta=141.32 gamma=55.85
Sites, in units of the cell vectors:
Ta: 0.1052 0.1052 0.0000
Ta: 0.8948 0.8948 0.0000
Ti: 0.0000 0.5000 0.5000
Ti: 0.3059 0.3059 0.0000
Ti: 0.5000 0.0000 0.5000
Ti: 0.6941 0.6941 0.0000
Pt: 0.5000 0.5000 0.0000

Calculated values
M_tot ... 0.7 Bohr magnetons per cell
E ... -7.9849 eV/atom
SG ... I4/mmm, No. 139
Energy relative to the elements ... 0.78 eV per atom
DOS at the Fermi energy ... 12.02 states/eV per cell

First-principles (GGA-PBE) data for a geometry-optimized TaTiPt3 structure, as listed in Alexandria.

Unit cell a=7.3472 b=7.3472 c=5.1500 alpha=97.10 beta=97.10 gamma=138.46
Sites, in units of the cell vectors:
Ta: 0.1798 0.8202 0.7500
Ta: 0.8202 0.1798 0.2500
Ti: 0.4881 0.5119 0.2500
Ti: 0.5119 0.4881 0.7500
Pt: 0.0000 0.0000 0.0000
Pt: 0.0000 0.0000 0.5000
Pt: 0.1170 0.4440 0.8618
Pt: 0.4440 0.1170 0.3618
Pt: 0.5560 0.8830 0.6382
Pt: 0.8830 0.5560 0.1382

Calculated values
Distance to the lowest polymorph of the same formula ... 0.178 eV/atom
M_tot ... 0.0 Bohr magnetons per cell
E ... -7.9617 eV/atom
SG ... C2/c, No. 15
Energy relative to the elements ... -0.39 eV per atom
DOS at the Fermi energy ... 7.91 states/eV per cell

First-principles (GGA-PBE) data for a geometry-optimized Ta3TiPt structure, as listed in Alexandria.

Unit cell a=4.6081 b=4.6081 c=4.6081 alpha=90.00 beta=90.00 gamma=90.00
Sites, in units of the cell vectors:
Ta: 0.0000 0.0000 0.5000
Ta: 0.0000 0.5000 0.0000
Ta: 0.5000 0.0000 0.0000
Ti: 0.0000 0.0000 0.0000
Pt: 0.5000 0.5000 0.5000

Calculated values
Distance to the lowest polymorph of the same formula ... 1.437 eV/atom
M_tot ... 0.0 Bohr magnetons per cell
E ... -8.5786 eV/atom
SG ... Pm-3m, No. 221
Energy relative to the elements ... 1.32 eV per atom
DOS at the Fermi energy ... 6.08 states/eV per cell

First-principles (GGA-PBE) data for a geometry-optimized TaTi3Pt structure, as listed in Alexandria.

Unit cell a=7.0066 b=7.0066 c=5.3778 alpha=100.67 beta=100.67 gamma=134.66
Sites, in units of the cell vectors:
Ta: 0.0491 0.9509 0.7500
Ta: 0.9509 0.0491 0.2500
Ti: 0.1105 0.4153 0.9833
Ti: 0.4153 0.1105 0.4833
Ti: 0.4621 0.5379 0.7500
Ti: 0.5379 0.4621 0.2500
Ti: 0.5847 0.8895 0.5167
Ti: 0.8895 0.5847 0.0167
Pt: 0.0000 0.5000 0.5000
Pt: 0.5000 0.0000 0.0000

Calculated values
Distance to the lowest polymorph of the same formula ... 0.000 eV/atom
M_tot ... 0.0 Bohr magnetons per cell
E ... -8.5639 eV/atom
SG ... C2/c, No. 15
Energy relative to the elements ... -0.25 eV per atom
DOS at the Fermi energy ... 10.35 states/eV per cell

First-principles (GGA-PBE) data for a geometry-optimized TaTi2Pt8 structure, as listed in Alexandria.

Unit cell a=7.4118 b=7.4118 c=6.4166 alpha=107.26 beta=107.26 gamma=31.09
Sites, in units of the cell vectors:
Ta: 0.0000 0.0000 0.0000
Ti: 0.2806 0.2806 0.3439
Ti: 0.7194 0.7194 0.6561
Pt: 0.1054 0.1054 0.4502
Pt: 0.1799 0.1799 0.9112
Pt: 0.3588 0.3588 0.8098
Pt: 0.4585 0.4585 0.2709
Pt: 0.5415 0.5415 0.7291
Pt: 0.6412 0.6412 0.1902
Pt: 0.8201 0.8201 0.0888
Pt: 0.8946 0.8946 0.5498

Calculated values
M_tot ... 0.0 Bohr magnetons per cell
E ... -7.7027 eV/atom
SG ... C2/m, No. 12
Energy relative to the elements ... -0.80 eV per atom
DOS at the Fermi energy ... 5.31 states/eV per cell

DOS at the Fermi energy of number 1 (TaTiPt3)? 13.06 states/eV per cell

Which value of M_tot does entry 8 give? 0.0 Bohr magnetons per cell

E of number 3 (TaTiPt)? -9.0219 eV/atom